A geometry-optimized ZrPaB structure. Source: OQMD via LeMat-Bulk, functional PBE.

Relative energy among the computed polymorphs = 0 meV per atom
VASP energy = -24.40 eV for the cell shown
Spin magnetization = 0.24 μB/cell

abc: 4.318 4.318 4.318
angles: 60.00 60.00 60.00
Fractional coordinates of all 3 atoms:
Zr  0.000  0.000  0.000
Pa  0.500  0.500  0.500
B  0.750  0.750  0.750

=====

A geometry-optimized ZrPaB structure. Source: OQMD via LeMat-Bulk, functional PBE.

Relative energy among the computed polymorphs = 1250 meV per atom
VASP energy = -20.65 eV for the cell shown
Spin magnetization = 0.01 μB/cell

abc: 4.421 4.421 4.421
angles: 60.00 60.00 60.00
Fractional coordinates of all 3 atoms:
Zr  0.000  0.000  0.000
Pa  0.750  0.750  0.750
B  0.500  0.500  0.500

=====

A geometry-optimized B4PdPb structure. Source: OQMD via LeMat-Bulk, functional PBE.

Relative energy among the computed polymorphs = 94 meV per atom
VASP energy = -32.28 eV for the cell shown

abc: 5.335 5.335 5.335
angles: 146.95 119.85 70.36
Fractional coordinates of all 6 atoms:
B  0.081  0.243  0.838
B  0.405  0.243  0.162
B  0.595  0.757  0.838
B  0.919  0.757  0.162
Pd  0.000  0.500  0.500
Pb  0.500  0.000  0.500

=====

A geometry-optimized BPdPb structure. Source: OQMD via LeMat-Bulk, functional PBE.

Relative energy among the computed polymorphs = 0 meV per atom
VASP energy = -13.02 eV for the cell shown

abc: 4.330 4.330 4.330
angles: 60.00 60.00 60.00
Fractional coordinates of all 3 atoms:
B  0.000  0.000  0.000
Pd  0.250  0.250  0.250
Pb  0.500  0.500  0.500

=====

A geometry-optimized B4PdPb structure. Source: OQMD via LeMat-Bulk, functional PBE.

Relative energy among the computed polymorphs = 0 meV per atom
VASP energy = -32.84 eV for the cell shown

abc: 3.083 3.083 8.602
angles: 90.00 90.00 120.00
Fractional coordinates of all 6 atoms:
B  0.333  0.667  0.202
B  0.333  0.667  0.798
B  0.667  0.333  0.202
B  0.667  0.333  0.798
Pd  0.000  0.000  0.000
Pb  0.000  0.000  0.500

=====

A geometry-optimized PrBPb structure. Source: OQMD via LeMat-Bulk, functional PBE.

Relative energy among the computed polymorphs = 358 meV per atom
VASP energy = -12.35 eV for the cell shown
Spin magnetization = 0.00 μB/cell

abc: 4.923 4.923 4.923
angles: 60.00 60.00 60.00
Fractional coordinates of all 3 atoms:
Pr  0.000  0.000  0.000
B  0.750  0.750  0.750
Pb  0.250  0.250  0.250

=====

A geometry-optimized PrBPb structure. Source: OQMD via LeMat-Bulk, functional PBE.

Relative energy among the computed polymorphs = 0 meV per atom
VASP energy = -13.42 eV for the cell shown
Spin magnetization = 0.00 μB/cell

abc: 5.105 5.105 5.105
angles: 60.00 60.00 60.00
Fractional coordinates of all 3 atoms:
Pr  0.000  0.000  0.000
B  0.750  0.750  0.750
Pb  0.500  0.500  0.500

=====

A geometry-optimized B4PtPb structure. Source: OQMD via LeMat-Bulk, functional PBE.

Relative energy among the computed polymorphs = 0 meV per atom
VASP energy = -33.34 eV for the cell shown
Spin magnetization = 0.00 μB/cell

abc: 3.099 3.099 8.684
angles: 90.00 90.00 120.00
Fractional coordinates of all 6 atoms:
B  0.333  0.667  0.197
B  0.333  0.667  0.803
B  0.667  0.333  0.197
B  0.667  0.333  0.803
Pt  0.000  0.000  0.000
Pb  0.000  0.000  0.500

=====

A geometry-optimized B4PtPb structure. Source: OQMD via LeMat-Bulk, functional PBE.

Relative energy among the computed polymorphs = 100 meV per atom
VASP energy = -32.74 eV for the cell shown
Spin magnetization = 0.00 μB/cell

abc: 5.506 5.506 5.506
angles: 150.44 118.73 69.48
Fractional coordinates of all 6 atoms:
B  0.082  0.233  0.850
B  0.383  0.233  0.150
B  0.617  0.767  0.850
B  0.918  0.767  0.150
Pt  0.000  0.500  0.500
Pb  0.500  0.000  0.500

=====

A geometry-optimized ReBPb structure. Source: OQMD via LeMat-Bulk, functional PBE.

Relative energy among the computed polymorphs = 0 meV per atom
VASP energy = -18.71 eV for the cell shown
Spin magnetization = 0.00 μB/cell

abc: 4.084 4.084 4.084
angles: 60.00 60.00 60.00
Fractional coordinates of all 3 atoms:
Re  0.000  0.000  0.000
B  0.750  0.750  0.750
Pb  0.500  0.500  0.500

=====

A geometry-optimized ReB4Pb structure. Source: OQMD via LeMat-Bulk, functional PBE.

Relative energy among the computed polymorphs = 0 meV per atom
VASP energy = -40.85 eV for the cell shown
Spin magnetization = 0.00 μB/cell

abc: 3.011 3.011 8.831
angles: 90.00 90.00 120.00
Fractional coordinates of all 6 atoms:
Re  0.000  0.000  0.000
B  0.333  0.667  0.189
B  0.333  0.667  0.811
B  0.667  0.333  0.189
B  0.667  0.333  0.811
Pb  0.000  0.000  0.500

=====

A geometry-optimized ReB4Pb structure. Source: OQMD via LeMat-Bulk, functional PBE.

Relative energy among the computed polymorphs = 446 meV per atom
VASP energy = -38.17 eV for the cell shown
Spin magnetization = 0.01 μB/cell

abc: 4.898 4.898 4.898
angles: 143.39 110.90 80.82
Fractional coordinates of all 6 atoms:
Re  0.000  0.000  0.000
B  0.080  0.740  0.340
B  0.400  0.740  0.660
B  0.600  0.260  0.340
B  0.920  0.260  0.660
Pb  0.500  0.500  0.000

=====

A geometry-optimized Tm4SnB2Pb structure. Source: OQMD via LeMat-Bulk, functional PBE.

VASP energy = -40.99 eV for the cell shown
Spin magnetization = 0.04 μB/cell

abc: 3.621 3.621 16.352
angles: 90.00 90.00 120.00
Fractional coordinates of all 8 atoms:
Tm  0.000  0.000  0.156
Tm  0.000  0.000  0.844
Tm  0.667  0.333  0.337
Tm  0.667  0.333  0.663
Sn  0.667  0.333  0.000
B  0.333  0.667  0.247
B  0.333  0.667  0.753
Pb  0.000  0.000  0.500

=====

A geometry-optimized Zr4SnB2Pb structure. Source: OQMD via LeMat-Bulk, functional PBE.

VASP energy = -59.75 eV for the cell shown
Spin magnetization = 0.01 μB/cell

abc: 3.489 3.489 15.026
angles: 90.00 90.00 120.00
Fractional coordinates of all 8 atoms:
Zr  0.000  0.000  0.162
Zr  0.000  0.000  0.838
Zr  0.333  0.667  0.333
Zr  0.333  0.667  0.667
Sn  0.333  0.667  0.000
B  0.667  0.333  0.248
B  0.667  0.333  0.752
Pb  0.000  0.000  0.500

=====

A geometry-optimized Ta3B2Pb structure. Source: OQMD via LeMat-Bulk, functional PBE.

VASP energy = -109.69 eV for the cell shown
Spin magnetization = 0.00 μB/cell

abc: 3.315 3.315 19.429
angles: 90.00 90.00 120.00
Fractional coordinates of all 12 atoms:
Ta  0.000  0.000  0.000
Ta  0.000  0.000  0.500
Ta  0.333  0.667  0.127
Ta  0.333  0.667  0.373
Ta  0.667  0.333  0.627
Ta  0.667  0.333  0.873
B  0.333  0.667  0.568
B  0.333  0.667  0.932
B  0.667  0.333  0.068
B  0.667  0.333  0.432
Pb  0.000  0.000  0.250
Pb  0.000  0.000  0.750

=====

A geometry-optimized TaBPb structure. Source: OQMD via LeMat-Bulk, functional PBE.

Relative energy among the computed polymorphs = 608 meV per atom
VASP energy = -15.49 eV for the cell shown
Spin magnetization = 1.43 μB/cell

abc: 4.538 4.538 4.538
angles: 60.00 60.00 60.00
Fractional coordinates of all 3 atoms:
Ta  0.000  0.000  0.000
B  0.500  0.500  0.500
Pb  0.750  0.750  0.750

=====

A geometry-optimized TaB4Pb structure. Source: OQMD via LeMat-Bulk, functional PBE.

Relative energy among the computed polymorphs = 477 meV per atom
VASP energy = -39.86 eV for the cell shown
Spin magnetization = 0.00 μB/cell

abc: 4.992 4.992 4.992
angles: 143.81 112.22 79.33
Fractional coordinates of all 6 atoms:
Ta  0.000  0.000  0.000
B  0.081  0.745  0.336
B  0.409  0.745  0.664
B  0.591  0.255  0.336
B  0.919  0.255  0.664
Pb  0.500  0.500  0.000

=====

A geometry-optimized TaB4Pb structure. Source: OQMD via LeMat-Bulk, functional PBE.

Relative energy among the computed polymorphs = 0 meV per atom
VASP energy = -42.72 eV for the cell shown
Spin magnetization = 0.00 μB/cell

abc: 3.085 3.085 8.836
angles: 90.00 90.00 120.00
Fractional coordinates of all 6 atoms:
Ta  0.000  0.000  0.000
B  0.333  0.667  0.186
B  0.333  0.667  0.814
B  0.667  0.333  0.186
B  0.667  0.333  0.814
Pb  0.000  0.000  0.500

=====

A geometry-optimized TaBPb structure. Source: OQMD via LeMat-Bulk, functional PBE.

Relative energy among the computed polymorphs = 0 meV per atom
VASP energy = -17.31 eV for the cell shown
Spin magnetization = 0.01 μB/cell

abc: 4.443 4.443 4.443
angles: 60.00 60.00 60.00
Fractional coordinates of all 3 atoms:
Ta  0.000  0.000  0.000
B  0.750  0.750  0.750
Pb  0.250  0.250  0.250

=====

A geometry-optimized TbTmBPb structure. Source: OQMD via LeMat-Bulk, functional PBE.

VASP energy = -40.62 eV for the cell shown
Spin magnetization = 0.05 μB/cell

abc: 3.671 3.671 16.670
angles: 90.00 90.00 120.00
Fractional coordinates of all 8 atoms:
Tb  0.333  0.667  0.092
Tb  0.667  0.333  0.908
Tm  0.333  0.667  0.413
Tm  0.667  0.333  0.587
B  0.000  0.000  0.000
B  0.000  0.000  0.500
Pb  0.333  0.667  0.746
Pb  0.667  0.333  0.254